CaIn2MoF8 | PBE with a Hubbard U | optimized geometry

Unit cell a=5.483 b=6.966 c=5.668 alpha=90.00 beta=90.09 gamma=90.00
Fractional coordinates of all 12 atoms:
Ca  0.000  0.000  0.000
In  0.500  0.259  0.500
In  0.500  0.741  0.500
Mo  0.000  0.500  0.000
F  0.172  0.266  0.175
F  0.172  0.734  0.175
F  0.271  0.500  0.746
F  0.299  0.000  0.705
F  0.701  0.000  0.295
F  0.729  0.500  0.254
F  0.828  0.266  0.825
F  0.828  0.734  0.825

Summary:
Calculated total energy: -5.049 eV/atom